A plane-wave DFT calculation with PBE was carried out for an optimized crystal structure of ZrTlAs2.

The space group is I-42d (No. 122) and the conventional cell measures 6.453, 6.453 and 12.296 Å, with angles of 90.00, 90.00 and 90.00 degrees. The distinct sites, in fractional coordinates, are Zr at (0.000, 0.000, 0.000), Tl at (0.000, 0.000, 0.500) and As at (0.214, 0.250, 0.125).

The total energy is -0.38449 Ry/atom. The formation energy comes out at -0.178 eV/atom. The calculation puts the energy above the most stable polymorph in this dataset at 300 meV per atom.